Entry 1
DFT (PBE) results for a relaxed structure of Pr2Y5Ho12.

```
Pr2Y5Ho12
1.0
7.9416 -4.5907 0.0000
7.9416 4.5907 0.0000
-0.1804 0.0000 8.5239
Pr Y Ho
2 5 12
Direct
0.1866 0.8134 0.0000
0.8134 0.1866 0.0000
0.1977 0.1977 0.0073
0.2665 0.2665 0.4232
0.5000 0.5000 0.5000
0.7335 0.7335 0.5768
0.8023 0.8023 0.9927
0.0562 0.0562 0.3300
0.0657 0.6818 0.3478
0.1620 0.5247 0.7534
0.3182 0.9343 0.6522
0.4055 0.4055 0.1155
0.4753 0.8380 0.2466
0.5247 0.1620 0.7534
0.5945 0.5945 0.8845
0.6818 0.0657 0.3478
0.8380 0.4753 0.2466
0.9343 0.3182 0.6522
0.9438 0.9438 0.6700
```

Values from the calculation:
**Space group**: C2/m (12)
**DOS(E_F)**: 27.861 states/eV per cell

=====

Entry 2
DFT (PBE) results for a relaxed structure of Pr2Y5Ho12.

```
Pr2Y5Ho12
1.0
6.2550 0.0000 0.0000
1.6330 8.6714 0.0000
2.0433 3.9451 11.2518
Pr Y Ho
2 5 12
Direct
0.2395 0.0080 0.0623
0.7605 0.9920 0.9377
0.1436 0.6574 0.9921
0.2848 0.1742 0.4879
0.5000 0.5000 0.5000
0.7152 0.8258 0.5121
0.8564 0.3426 0.0079
0.0406 0.5756 0.3259
0.1877 0.7605 0.6659
0.2288 0.8976 0.3597
0.2677 0.0383 0.7835
0.3352 0.2926 0.1785
0.4126 0.3762 0.8352
0.5874 0.6238 0.1648
0.6648 0.7074 0.8215
0.7323 0.9617 0.2165
0.7712 0.1024 0.6403
0.8123 0.2395 0.3341
0.9594 0.4244 0.6741
```

Values from the calculation:
**Space group**: P-1 (2)
**DOS(E_F)**: 25.766 states/eV per cell

=====

Most stable structure: entry 2

=====

Entry 1
DFT (PBE) results for a relaxed structure of Pr2YHo5.

```
Pr2YHo5
1.0
7.1568 0.0000 0.0000
0.0000 14.3129 0.0000
0.0000 0.0000 5.0600
Pr Y Ho
4 2 10
Direct
0.2493 0.1253 0.0000
0.2507 0.6253 0.0000
0.7493 0.3747 0.0000
0.7507 0.8747 0.0000
0.0000 0.5000 0.5000
0.5000 0.0000 0.5000
0.0000 0.0000 0.5000
0.0003 0.2494 0.5000
0.9997 0.7506 0.5000
0.2492 0.8744 0.0000
0.2508 0.3744 0.0000
0.5003 0.2506 0.5000
0.5000 0.5000 0.5000
0.4997 0.7494 0.5000
0.7492 0.6256 0.0000
0.7508 0.1256 0.0000
```

Values from the calculation:
**Space group**: Pbam (55)
**DOS(E_F)**: 23.010 states/eV per cell

=====

Entry 2
DFT (PBE) results for a relaxed structure of Pr2YHo5.

```
Pr2YHo5
1.0
8.1114 -4.9524 0.0000
8.1114 4.9524 0.0000
-1.0607 0.0000 6.5053
Pr Y Ho
4 2 10
Direct
0.1673 0.6751 0.8838
0.3249 0.8327 0.6162
0.6751 0.1673 0.3838
0.8327 0.3249 0.1162
0.0000 0.5000 0.0000
0.5000 0.0000 0.5000
0.0134 0.1882 0.6481
0.1882 0.0134 0.1481
0.2139 0.3906 0.4745
0.3906 0.2139 0.9745
0.4403 0.5597 0.2500
0.5597 0.4403 0.7500
0.6094 0.7861 0.0255
0.7861 0.6094 0.5255
0.8118 0.9866 0.8519
0.9866 0.8118 0.3519
```

Values from the calculation:
**Space group**: C2/c (15)
**DOS(E_F)**: 23.670 states/eV per cell

=====

Most stable structure: entry 1

=====

Entry 1
DFT (PBE) results for a relaxed structure of PrY4Ho6.

```
PrY4Ho6
1.0
-3.8105 3.8105 6.5842
3.8105 -3.8105 6.5842
3.8105 3.8105 -6.5842
Pr Y Ho
1 4 6
Direct
0.0000 0.0000 0.0000
0.2545 0.2545 0.6667
0.4122 0.7455 0.0000
0.5878 0.5878 0.3332
0.7455 0.4122 0.0000
0.0000 0.5000 0.5000
0.0576 0.5754 0.0000
0.4246 0.4246 0.4822
0.5000 0.0000 0.5000
0.5754 0.0576 0.0000
0.9424 0.9424 0.5178
```

Values from the calculation:
**Space group**: I-42m (121)
**DOS(E_F)**: 16.605 states/eV per cell

=====

Entry 2
DFT (PBE) results for a relaxed structure of PrY4Ho6.

```
PrY4Ho6
1.0
-3.2800 3.2800 8.5669
3.2800 -3.2800 8.5669
3.2800 3.2800 -8.5669
Pr Y Ho
1 4 6
Direct
0.0000 0.0000 0.0000
0.0124 0.6378 0.0000
0.3622 0.3622 0.3746
0.6378 0.0124 0.0000
0.9876 0.9876 0.6254
0.0000 0.5000 0.5000
0.1911 0.1911 0.6421
0.4509 0.8089 0.0000
0.5000 0.0000 0.5000
0.5491 0.5491 0.3579
0.8089 0.4509 0.0000
```

Values from the calculation:
**Space group**: I-42m (121)
**DOS(E_F)**: 16.789 states/eV per cell

=====

Most stable structure: entry 2

=====

Entry 1
DFT (PBE) results for a relaxed structure of Pr2Y4Ho.

```
Pr2Y4Ho
1.0
-4.2576 4.2576 3.2980
4.2576 -4.2576 3.2980
4.2576 4.2576 -3.2980
Pr Y Ho
2 4 1
Direct
0.2500 0.7500 0.5000
0.7500 0.2500 0.5000
0.1988 0.1988 0.3977
0.1988 0.8012 0.0000
0.8012 0.1988 0.0000
0.8012 0.8012 0.6023
0.5000 0.5000 0.0000
```

Values from the calculation:
**Space group**: I4/mmm (139)
**DOS(E_F)**: 12.725 states/eV per cell

=====

Entry 2
DFT (PBE) results for a relaxed structure of Pr2Y4Ho.

```
Pr2Y4Ho
1.0
8.5319 -1.7907 0.0000
8.5319 1.7907 0.0000
-4.4480 0.0000 7.6616
Pr Y Ho
2 4 1
Direct
0.0701 0.0701 0.4319
0.9299 0.9299 0.5681
0.2959 0.2959 0.7090
0.3544 0.3544 0.1525
0.6456 0.6456 0.8475
0.7041 0.7041 0.2910
0.0000 0.0000 0.0000
```

Values from the calculation:
**Space group**: C2/m (12)
**DOS(E_F)**: 12.394 states/eV per cell

=====

Most stable structure: entry 2

=====

Entry 1
DFT (PBE) results for a relaxed structure of PrY12Ho6.

```
PrY12Ho6
1.0
7.7641 4.4826 2.9109
-7.7641 4.4826 2.9109
0.0000 -8.9653 2.9109
Pr Y Ho
1 12 6
Direct
0.0000 0.0000 0.0000
0.1068 0.1597 0.7367
0.1597 0.7367 0.1068
0.2107 0.3176 0.4757
0.2633 0.8932 0.8403
0.3176 0.4757 0.2107
0.4757 0.2107 0.3176
0.5243 0.7893 0.6824
0.6824 0.5243 0.7893
0.7367 0.1068 0.1597
0.7893 0.6824 0.5243
0.8403 0.2633 0.8932
0.8932 0.8403 0.2633
0.0517 0.5786 0.3682
0.3682 0.0517 0.5786
0.4214 0.6318 0.9483
0.5786 0.3682 0.0517
0.6318 0.9483 0.4214
0.9483 0.4214 0.6318
```

Values from the calculation:
**Space group**: R-3 (148)
**DOS(E_F)**: 28.020 states/eV per cell

=====

Entry 2
DFT (PBE) results for a relaxed structure of PrY12Ho6.

```
PrY12Ho6
1.0
5.9480 3.4341 5.1042
-5.9480 3.4341 5.1042
0.0000 -6.8682 5.1042
Pr Y Ho
1 12 6
Direct
0.0000 0.0000 0.0000
0.0087 0.2062 0.3579
0.2062 0.3579 0.0087
0.2247 0.4560 0.5642
0.3579 0.0087 0.2062
0.4358 0.7753 0.5440
0.4560 0.5642 0.2247
0.5440 0.4358 0.7753
0.5642 0.2247 0.4560
0.6421 0.9913 0.7938
0.7753 0.5440 0.4358
0.7938 0.6421 0.9913
0.9913 0.7938 0.6421
0.0924 0.6893 0.2555
0.2555 0.0924 0.6893
0.3107 0.7445 0.9076
0.6893 0.2555 0.0924
0.7445 0.9076 0.3107
0.9076 0.3107 0.7445
```

Values from the calculation:
**Space group**: R-3 (148)
**DOS(E_F)**: 33.376 states/eV per cell

=====

Most stable structure: entry 1

=====

Entry 1
DFT (PBE) results for a relaxed structure of Pr2YHo3.

```
Pr2YHo3
1.0
8.5881 -2.8015 0.0000
8.5881 2.8015 0.0000
-5.7783 0.0000 8.2861
Pr Y Ho
4 2 6
Direct
0.0086 0.0086 0.3578
0.2714 0.2714 0.6298
0.7286 0.7286 0.3702
0.9914 0.9914 0.6422
0.3660 0.3660 0.3606
0.6340 0.6340 0.6394
0.1123 0.1123 0.1543
0.2085 0.2085 0.9260
0.4507 0.4507 0.1042
0.5493 0.5493 0.8958
0.7915 0.7915 0.0740
0.8877 0.8877 0.8457
```

Values from the calculation:
**Space group**: C2/m (12)
**DOS(E_F)**: 19.719 states/eV per cell

=====

Entry 2
DFT (PBE) results for a relaxed structure of Pr2YHo3.

```
Pr2YHo3
1.0
11.7305 -1.7571 0.0000
11.7305 1.7571 0.0000
-3.2568 0.0000 9.7687
Pr Y Ho
4 2 6
Direct
0.0677 0.0677 0.1355
0.3095 0.3095 0.6293
0.6905 0.6905 0.3707
0.9323 0.9323 0.8645
0.3112 0.3112 0.9641
0.6888 0.6888 0.0359
0.0700 0.0700 0.7629
0.3058 0.3058 0.2848
0.4415 0.4415 0.5540
0.5585 0.5585 0.4460
0.6942 0.6942 0.7152
0.9300 0.9300 0.2371
```

Values from the calculation:
**Space group**: C2/m (12)
**DOS(E_F)**: 18.688 states/eV per cell

=====

Most stable structure: entry 1

=====

Entry 1
DFT (PBE) results for a relaxed structure of Pr4YHo7.

```
Pr4YHo7
1.0
6.0796 -2.9682 0.0000
6.0796 2.9682 0.0000
-6.0718 0.0000 11.3522
Pr Y Ho
4 1 7
Direct
0.0560 0.0560 0.3349
0.3611 0.3611 0.2221
0.6389 0.6389 0.7779
0.9440 0.9440 0.6651
0.5000 0.5000 0.0000
0.0000 0.0000 0.0000
0.2107 0.2107 0.9233
0.2581 0.2581 0.6889
0.3621 0.3621 0.4944
0.6379 0.6379 0.5056
0.7419 0.7419 0.3111
0.7893 0.7893 0.0767
```

Values from the calculation:
**Space group**: C2/m (12)
**DOS(E_F)**: 20.037 states/eV per cell

=====

Entry 2
DFT (PBE) results for a relaxed structure of Pr4YHo7.

```
Pr4YHo7
1.0
6.5942 0.0000 0.0000
1.0070 6.8105 0.0000
1.9926 0.5615 8.8548
Pr Y Ho
4 1 7
Direct
0.1380 0.3067 0.2862
0.3362 0.8866 0.6923
0.6638 0.1134 0.3077
0.8620 0.6933 0.7138
0.5000 0.5000 0.0000
0.0120 0.2528 0.9516
0.1815 0.7974 0.3554
0.3138 0.3954 0.6192
0.5000 0.0000 0.0000
0.6862 0.6046 0.3808
0.8185 0.2026 0.6446
0.9880 0.7472 0.0484
```

Values from the calculation:
**Space group**: P-1 (2)
**DOS(E_F)**: 18.778 states/eV per cell

=====

Most stable structure: entry 2

=====

Entry 1
DFT (PBE) results for a relaxed structure of PrY2Ho2.

```
PrY2Ho2
1.0
6.1778 -2.8952 0.0000
6.1778 2.8952 0.0000
-3.0728 0.0000 9.1833
Pr Y Ho
2 4 4
Direct
0.0484 0.0484 0.3461
0.9516 0.9516 0.6539
0.3550 0.3550 0.4243
0.4415 0.4415 0.1269
0.5585 0.5585 0.8731
0.6450 0.6450 0.5757
0.1547 0.1547 0.0453
0.2672 0.2672 0.7395
0.7328 0.7328 0.2605
0.8453 0.8453 0.9547
```

Values from the calculation:
**Space group**: C2/m (12)
**DOS(E_F)**: 19.343 states/eV per cell

=====

Entry 2
DFT (PBE) results for a relaxed structure of PrY2Ho2.

```
PrY2Ho2
1.0
9.4362 0.0000 0.0000
0.0000 9.4362 0.0000
0.0000 0.0000 3.7411
Pr Y Ho
2 4 4
Direct
0.0000 0.0000 0.0000
0.5000 0.5000 0.0000
0.1724 0.3276 0.5000
0.3276 0.8276 0.5000
0.6724 0.1724 0.5000
0.8276 0.6724 0.5000
0.1241 0.6241 0.0000
0.3759 0.1241 0.0000
0.6241 0.8759 0.0000
0.8759 0.3759 0.0000
```

Values from the calculation:
**Space group**: P4/mbm (127)
**DOS(E_F)**: 11.575 states/eV per cell

=====

Most stable structure: entry 2

=====

Entry 1
DFT (PBE) results for a relaxed structure of PrY5Ho3.

```
PrY5Ho3
1.0
8.0066 -3.3720 0.0000
8.0066 3.3720 0.0000
-4.0123 0.0000 11.1774
Pr Y Ho
2 10 6
Direct
0.2006 0.7994 0.7500
0.7994 0.2006 0.2500
0.0849 0.4751 0.7373
0.1375 0.2324 0.9515
0.2324 0.1375 0.4515
0.3044 0.6956 0.2500
0.4751 0.0849 0.2373
0.5249 0.9151 0.7627
0.6956 0.3044 0.7500
0.7676 0.8625 0.5485
0.8625 0.7676 0.0485
0.9151 0.5249 0.2627
0.0000 0.0000 0.0000
0.0000 0.0000 0.5000
0.3441 0.4456 0.4886
0.4456 0.3441 0.9886
0.5544 0.6559 0.0114
0.6559 0.5544 0.5114
```

Values from the calculation:
**Space group**: C2/c (15)
**DOS(E_F)**: 28.831 states/eV per cell

=====

Entry 2
DFT (PBE) results for a relaxed structure of PrY5Ho3.

```
PrY5Ho3
1.0
-4.3015 4.3015 7.8775
4.3015 -4.3015 7.8775
4.3015 4.3015 -7.8775
Pr Y Ho
2 10 6
Direct
0.2500 0.7500 0.5000
0.7500 0.2500 0.5000
0.0000 0.0000 0.0000
0.0649 0.5649 0.9016
0.1633 0.0649 0.5000
0.3367 0.8367 0.9016
0.4351 0.3367 0.5000
0.5000 0.5000 0.0000
0.5649 0.6633 0.5000
0.6633 0.1633 0.0984
0.8367 0.9351 0.5000
0.9351 0.4351 0.0984
0.1196 0.3804 0.5000
0.2500 0.2500 0.0000
0.3804 0.8804 0.2609
0.6196 0.1196 0.7391
0.7500 0.7500 0.0000
0.8804 0.6196 0.5000
```

Values from the calculation:
**Space group**: I4/mcm (140)
**DOS(E_F)**: 23.149 states/eV per cell

=====

Most stable structure: entry 1